# Cu4PbW, optimized geometry, DFT PBE
data_Cu4PbW
_cell_length_a 7.0684
_cell_length_b 7.0684
_cell_length_c 7.0684
_cell_angle_alpha 90.00
_cell_angle_beta 90.00
_cell_angle_gamma 90.00
_space_group_name_H-M_alt 'F -4 3 m'
_space_group_IT_number 216
_space_group_name_Hall 'F -4 2 3'
loop_
_atom_site_label
_atom_site_type_symbol
_atom_site_fract_x
_atom_site_fract_y
_atom_site_fract_z
_atom_site_occupancy
Cu1 Cu 0.1237 0.1237 0.3763 1
Pb1 Pb 0.0000 0.0000 0.0000 1
W1 W 0.2500 0.2500 0.7500 1
# ΔH_f (0 K)   573 meV per atom
# Calculated total energy   -118.43 eV for the cell shown